{
  "formula": "TlTc2Ru",
  "functional": "PBE",
  "state": "relaxed",
  "e_tot_ev_per_atom": -7.288,
  "space_group": "No. 123",
  "relative_energy_ev_per_atom": 0.406,
  "formation_energy_ev_per_atom": 0.81,
  "lattice": [[-1.723, 1.232, 4.202], [-3.134, -3.501, -0.259], [1.916, -1.813, 1.317]],
  "species": ["Ru", "Tc", "Tc", "Tl"],
  "fractional_positions": [[0.000, 0.500, 0.500], [0.000, 0.000, 0.000], [0.500, 0.500, 0.000], [0.500, 0.000, 0.500]]
}